[1]
Computed, not measured: a relaxed Sm2GaSiGe crystal at the GGA-PBE level of DFT.

The calculated volume is 122.0 Å³/f.u. As for the density: 6.42 Mg/m³. Its calculated total energy is -5.055 eV/atom. The calculation puts the uncorrected formation energy at -53.4 kJ per mole of atoms.

It has space group P2_1/m (No. 11), with a = 7.229 Å, b = 4.072 Å, c = 8.741 Å, α = 90.00°, β = 108.57° and γ = 90.00°. The distinct sites, in fractional coordinates, are Sm at (0.175, 0.250, 0.414), Sm at (0.260, 0.250, 0.967), Ga at (0.493, 0.750, 0.269), Si at (0.291, 0.750, 0.705) and Ge at (0.147, 0.750, 0.171).

***

[2]
Computed, not measured: a relaxed Be2OsRu crystal at the GGA-PBE level of DFT.

The calculated volume is 48.5 Å³/f.u. The value obtained for the formation energy from the elements is 0.314 eV per atom. As for the offset from the most stable computed form: 544 meV/atom. As for the density: 10.58 Mg/m³. Its calculated total energy is -6.675 eV/atom.

It has space group Cmm2 (No. 35), with a = 2.774 Å, b = 4.461 Å, c = 7.848 Å, α = 90.00°, β = 90.00° and γ = 90.00°. The distinct sites, in fractional coordinates, are Be at (0.000, 0.000, 0.000), Be at (0.000, 0.500, 0.229), Os at (0.000, 0.500, 0.760) and Ru at (0.000, 0.000, 0.463).

***

[3]
Computed, not measured: a relaxed CuHCl2 crystal at the GGA-PBE level of DFT.

The calculated volume is 68.2 Å³/f.u. As for the offset from the most stable computed form: 648 meV/atom. As for the density: 3.30 Mg/m³. Its calculated total energy is -2.587 eV/atom.

It has space group R-3m (No. 166, hexagonal axes), with a = 3.4336 Å, b = 3.4336 Å, c = 20.0487 Å, α = 90.00°, β = 90.00° and γ = 120.00°. The distinct sites, in fractional coordinates, are Cu at (0.0000, 0.0000, 0.0000), H at (0.0000, 0.0000, 0.5000) and Cl at (0.0000, 0.0000, 0.1049).

***

[4]
Computed, not measured: a relaxed Hf6TcPb2 crystal at the GGA-PBE level of DFT.

The calculated volume is 198.5 Å³/f.u. The value obtained for the formation energy from the elements is -0.142 eV per atom. As for the density: 13.24 Mg/m³. Its calculated total energy is -8.754 eV/atom.

It has space group Amm2 (No. 38), with a = 3.456 Å, b = 14.112 Å, c = 8.142 Å, α = 90.00°, β = 90.00° and γ = 90.00°. The distinct sites, in fractional coordinates, are Hf at (0.000, 0.000, 0.000), Hf at (0.000, 0.126, 0.623), Hf at (0.500, 0.000, 0.374), Hf at (0.500, 0.187, 0.936), Tc at (0.500, 0.000, 0.749) and Pb at (0.000, 0.167, 0.249).

***

[5]
Computed, not measured: a relaxed ZnTc2Te crystal at the GGA-PBE level of DFT.

The calculated volume is 67.2 Å³/f.u. As for the offset from the most stable computed form: 276 meV/atom. As for the density: 9.62 Mg/m³. Its calculated total energy is -5.833 eV/atom. The calculation puts the uncorrected formation energy at 43.8 kJ per mole of atoms.

It has space group R-3m (No. 166, hexagonal axes), with a = 3.0992 Å, b = 3.0992 Å, c = 24.2241 Å, α = 90.00°, β = 90.00° and γ = 120.00°. The distinct sites, in fractional coordinates, are Zn at (0.0000, 0.0000, 0.0000), Tc at (0.0000, 0.0000, 0.2493) and Te at (0.0000, 0.0000, 0.5000).

***

[6]
Computed, not measured: a relaxed Li2PmPr crystal at the GGA-PBE level of DFT.

The calculated volume is 111.9 Å³/f.u. The value obtained for the formation energy from the elements is 0.150 eV per atom. As for the density: 4.45 Mg/m³. Its calculated total energy is -3.189 eV/atom.

It has space group Fm-3m (No. 225), with a = 7.650 Å, b = 7.650 Å, c = 7.650 Å, α = 90.00°, β = 90.00° and γ = 90.00°. The distinct sites, in fractional coordinates, are Li at (0.250, 0.250, 0.250), Pm at (0.000, 0.000, 0.000) and Pr at (0.000, 0.000, 0.500).